Mg2SiNi | Alexandria | PBE | relaxed; calculated volume = 16.1 Å³/atom; total magnetic moment = 0.012 μB per atom; formation energy (no corrections) = 0.116 eV per atom
1.0
1.450 0.837 8.873
-1.450 0.837 8.873
0.000 -1.674 8.873
Mg Si Ni
2 1 1
Direct
0.241 0.241 0.241 Mg
0.759 0.759 0.759 Mg
0.000 0.000 0.000 Si
0.500 0.500 0.500 Ni


SmGa8Co4 | Alexandria | PBE | relaxed; calculated volume = 14.6 Å³/atom; total magnetic moment = 0.000 μB per atom; DFT formation energy = -0.346 eV per atom
1.0
-4.281 4.281 2.590
4.281 -4.281 2.590
4.281 4.281 -2.590
Sm Ga Co
1 8 4
Direct
0.000 0.000 0.000 Sm
0.000 0.341 0.341 Ga
0.000 0.659 0.659 Ga
0.275 0.500 0.775 Ga
0.341 0.000 0.341 Ga
0.500 0.275 0.775 Ga
0.500 0.725 0.225 Ga
0.659 0.000 0.659 Ga
0.725 0.500 0.225 Ga
0.000 0.000 0.500 Co
0.000 0.500 0.000 Co
0.500 0.000 0.000 Co
0.500 0.500 0.500 Co


LaTbPm2Pr4 | Alexandria | PBE | relaxed; calculated volume = 35.4 Å³/atom; total magnetic moment = 0.000 μB per atom; DFT formation energy = 0.016 eV per atom
1.0
6.361 0.000 0.000
0.000 3.699 0.000
-2.182 0.000 12.041
La Tb Pm Pr
1 1 2 4
Direct
0.000 0.000 0.000 La
0.500 0.500 0.000 Tb
0.000 0.500 0.500 Pm
0.500 0.000 0.500 Pm
0.250 0.000 0.751 Pr
0.252 0.500 0.251 Pr
0.748 0.500 0.749 Pr
0.750 0.000 0.249 Pr


PaCoN2 | Alexandria | PBE | relaxed; calculated volume = 11.9 Å³/atom; total magnetic moment = 0.237 μB per atom; formation energy (no corrections) = -0.996 eV per atom
1.0
5.681 0.000 0.000
0.000 5.896 0.000
-1.360 0.000 5.662
Pa Co N
4 4 8
Direct
0.201 0.067 0.302 Pa
0.201 0.433 0.802 Pa
0.799 0.567 0.198 Pa
0.799 0.933 0.698 Pa
0.333 0.602 0.331 Co
0.333 0.898 0.831 Co
0.667 0.102 0.169 Co
0.667 0.398 0.669 Co
0.107 0.747 0.518 N
0.107 0.753 0.018 N
0.428 0.150 0.668 N
0.428 0.350 0.168 N
0.572 0.650 0.832 N
0.572 0.850 0.332 N
0.893 0.247 0.982 N
0.893 0.253 0.482 N


What did the first record say?
Mg2SiNi | Alexandria | PBE | relaxed; calculated volume = 16.1 Å³/atom; total magnetic moment = 0.012 μB per atom; formation energy (no corrections) = 0.116 eV per atom
1.0
1.450 0.837 8.873
-1.450 0.837 8.873
0.000 -1.674 8.873
Mg Si Ni
2 1 1
Direct
0.241 0.241 0.241 Mg
0.759 0.759 0.759 Mg
0.000 0.000 0.000 Si
0.500 0.500 0.500 Ni